Entry 1:
Li2NiW: relaxed, GGA-PBE.

The space group is Cmmm (No. 65) and the conventional cell measures 4.841, 9.074 and 2.543 Å, with angles of 90.00, 90.00 and 90.00 degrees. The asymmetric unit holds Li at (0.250, 0.250, 0.000), Ni at (0.000, 0.000, 0.500) and W at (0.000, 0.500, 0.500).

For the uncorrected energy, the calculation gives -20.83 eV/f.u. The value obtained for the volume is 112 Å³ per cell. The value obtained for the formation energy is 432 meV/atom. The value obtained for the relative energy among the computed polymorphs is 233 meV per atom. For the theoretical density, the calculation gives 7.6 g cm⁻³.

=====

Entry 2:
LiNiW2: relaxed, GGA-PBE.

The space group is R-3m (No. 166, hexagonal axes) and the conventional cell measures 2.7104, 2.7104 and 28.1990 Å, with angles of 90.00, 90.00 and 120.00 degrees. The asymmetric unit holds Li at (0.0000, 0.0000, 0.0000), Ni at (0.0000, 0.0000, 0.5000) and W at (0.0000, 0.0000, 0.2432).

For the uncorrected energy, the calculation gives -32.09 eV/f.u. The value obtained for the volume is 179 Å³ per cell. The value obtained for the formation energy is 378 meV/atom. The value obtained for the relative energy among the computed polymorphs is 172 meV per atom. For the theoretical density, the calculation gives 12.0 g cm⁻³.

=====

Entry 3:
LiNiW: relaxed, GGA-PBE.

The space group is Fmm2 (No. 42) and the conventional cell measures 3.178, 4.231 and 12.480 Å, with angles of 90.00, 90.00 and 90.00 degrees. The asymmetric unit holds Li at (0.000, 0.000, 0.000), Ni at (0.000, 0.000, 0.342) and W at (0.000, 0.000, 0.689).

For the uncorrected energy, the calculation gives -19.87 eV/f.u. The value obtained for the volume is 168 Å³ per cell. The value obtained for the formation energy is 258 meV/atom. The value obtained for the relative energy among the computed polymorphs is 0 meV per atom. For the theoretical density, the calculation gives 9.9 g cm⁻³.

=====

Entry 4:
LiNiW2: relaxed, GGA-PBE.

The space group is Immm (No. 71) and the conventional cell measures 3.086, 4.202 and 8.674 Å, with angles of 90.00, 90.00 and 90.00 degrees. The asymmetric unit holds Li at (0.000, 0.000, 0.000), Ni at (0.000, 0.000, 0.500) and W at (0.000, 0.500, 0.245).

For the uncorrected energy, the calculation gives -32.32 eV/f.u. The value obtained for the volume is 112 Å³ per cell. The value obtained for the formation energy is 322 meV/atom. The value obtained for the relative energy among the computed polymorphs is 116 meV per atom. For the theoretical density, the calculation gives 12.8 g cm⁻³.

=====

Entry 5:
Li2NiW: relaxed, GGA-PBE.

The space group is P4/mmm (No. 123) and the conventional cell measures 4.550, 4.550 and 2.541 Å, with angles of 90.00, 90.00 and 90.00 degrees. The asymmetric unit holds Li at (0.000, 0.500, 0.000), Ni at (0.000, 0.000, 0.500) and W at (0.500, 0.500, 0.500).

For the uncorrected energy, the calculation gives -19.63 eV/f.u. The value obtained for the volume is 53 Å³ per cell. The value obtained for the formation energy is 733 meV/atom. The value obtained for the relative energy among the computed polymorphs is 533 meV per atom. For the theoretical density, the calculation gives 8.1 g cm⁻³.

=====

Entry 6:
Li3NiW: relaxed, GGA-PBE.

The space group is Pm-3m (No. 221) and the conventional cell measures 4.775, 4.775 and 4.775 Å, with angles of 90.00, 90.00 and 90.00 degrees. The asymmetric unit holds Li at (0.000, 0.000, 0.500), Ni at (0.500, 0.500, 0.500) and W at (0.000, 0.000, 0.000).

For the uncorrected energy, the calculation gives -15.12 eV/f.u. The value obtained for the volume is 109 Å³ per cell. The value obtained for the formation energy is 1871 meV/atom. For the theoretical density, the calculation gives 4.0 g cm⁻³.

=====

Entry 7:
LiNiW2: relaxed, GGA-PBE.

The space group is Cm (No. 8) and the conventional cell measures 8.867, 2.621 and 4.875 Å, with angles of 90.00, 97.90 and 90.00 degrees. The asymmetric unit holds Li at (0.000, 0.000, 0.000), Ni at (0.245, 0.500, 0.231), W at (0.241, 0.000, 0.756) and W at (0.476, 0.000, 0.484).

For the uncorrected energy, the calculation gives -32.24 eV/f.u. The value obtained for the volume is 112 Å³ per cell. The value obtained for the formation energy is 340 meV/atom. The value obtained for the relative energy among the computed polymorphs is 135 meV per atom. For the theoretical density, the calculation gives 12.8 g cm⁻³.

=====

Entry 8:
LiNiW2: relaxed, GGA-PBE.

The space group is Imm2 (No. 44) and the conventional cell measures 3.222, 4.364 and 7.884 Å, with angles of 90.00, 90.00 and 90.00 degrees. The asymmetric unit holds Li at (0.000, 0.000, 0.000), Ni at (0.000, 0.500, 0.728), W at (0.000, 0.000, 0.473) and W at (0.000, 0.500, 0.230).

For the uncorrected energy, the calculation gives -31.99 eV/f.u. The value obtained for the volume is 111 Å³ per cell. The value obtained for the formation energy is 403 meV/atom. The value obtained for the relative energy among the computed polymorphs is 198 meV per atom. For the theoretical density, the calculation gives 13.0 g cm⁻³.

=====

Entry 9:
LiNiW2: relaxed, GGA-PBE.

The space group is C2/m (No. 12) and the conventional cell measures 5.172, 8.737 and 2.617 Å, with angles of 90.00, 107.17 and 90.00 degrees. The asymmetric unit holds Li at (0.000, 0.000, 0.000), Ni at (0.000, 0.500, 0.000) and W at (0.250, 0.250, 0.500).

For the uncorrected energy, the calculation gives -32.15 eV/f.u. The value obtained for the volume is 113 Å³ per cell. The value obtained for the formation energy is 363 meV/atom. The value obtained for the relative energy among the computed polymorphs is 158 meV per atom. For the theoretical density, the calculation gives 12.7 g cm⁻³.

=====

Entry 10:
LiNiW2: relaxed, GGA-PBE.

The space group is Cmm2 (No. 35) and the conventional cell measures 3.188, 4.316 and 8.511 Å, with angles of 90.00, 90.00 and 90.00 degrees. The asymmetric unit holds Li at (0.000, 0.000, 0.000), Ni at (0.000, 0.500, 0.232), W at (0.000, 0.000, 0.458) and W at (0.000, 0.500, 0.724).

For the uncorrected energy, the calculation gives -32.78 eV/f.u. The value obtained for the volume is 117 Å³ per cell. The value obtained for the formation energy is 206 meV/atom. The value obtained for the relative energy among the computed polymorphs is 0 meV per atom. For the theoretical density, the calculation gives 12.3 g cm⁻³.

=====

Entry 11:
Li2NiW: relaxed, GGA-PBE.

The space group is Pm (No. 6) and the conventional cell measures 2.555, 4.055 and 5.506 Å, with angles of 90.00, 102.75 and 90.00 degrees. The asymmetric unit holds Li at (0.000, 0.000, 0.000), Li at (0.391, 0.500, 0.799), Ni at (0.140, 0.500, 0.297) and W at (0.720, 0.000, 0.466).

For the uncorrected energy, the calculation gives -21.63 eV/f.u. The value obtained for the volume is 56 Å³ per cell. The value obtained for the formation energy is 232 meV/atom. The value obtained for the relative energy among the computed polymorphs is 32 meV per atom. For the theoretical density, the calculation gives 7.7 g cm⁻³.

=====

Entry 12:
Li2NiW: relaxed, GGA-PBE.

The space group is Cm (No. 8) and the conventional cell measures 8.559, 2.558 and 5.141 Å, with angles of 90.00, 96.36 and 90.00 degrees. The asymmetric unit holds Li at (0.000, 0.000, 0.000), Li at (0.242, 0.000, 0.807), Ni at (0.011, 0.500, 0.497) and W at (0.263, 0.500, 0.332).

For the uncorrected energy, the calculation gives -21.34 eV/f.u. The value obtained for the volume is 112 Å³ per cell. The value obtained for the formation energy is 305 meV/atom. The value obtained for the relative energy among the computed polymorphs is 105 meV per atom. For the theoretical density, the calculation gives 7.6 g cm⁻³.